# CaNbBiSe2

Crystalline CaNbBiSe2 at its relaxed geometry (PBE, Alexandria via LeMat-Bulk).

Summary:
DOS(E_F) = 4.1 states/eV/cell
Calculated total energy = -3.70 eV per atom
Density = 4614 kg/m3
ΔE_f (raw) = 429 kJ/mol of formula units

Lattice parameters (Å, degrees): 5.605 5.605 5.726 90.00 90.00 90.00
Space group P4/mmm (No. 123)
One atom of each set of equivalent atoms:
1 Ca 0.000 0.000 0.000 x1
2 Nb 0.500 0.500 0.000 x1
3 Bi 0.000 0.000 0.500 x1
4 Se 0.000 0.500 0.500 x2